A geometry-optimized TlAsBr3 structure. Source: Alexandria, functional PBE.

```
data_TlAsBr3
_chemical_formula_sum 'Tl1 As1 Br3'
_symmetry_space_group_name_H-M 'P 1'
_symmetry_Int_Tables_number 1
_cell_length_a 5.6882
_cell_length_b 5.6882
_cell_length_c 5.6882
_cell_angle_alpha 90.00
_cell_angle_beta 90.00
_cell_angle_gamma 90.00
loop_
_symmetry_equiv_pos_as_xyz
'x,y,z'
loop_
_atom_site_label
_atom_site_type_symbol
_atom_site_fract_x
_atom_site_fract_y
_atom_site_fract_z
Br1 Br 0.0000 0.5000 0.0000
Br2 Br 0.0000 0.0000 0.5000
Br3 Br 0.5000 0.0000 0.0000
As1 As 0.5000 0.5000 0.5000
Tl1 Tl 0.0000 0.0000 0.0000
```

## Properties
Energy above the most stable polymorph in this dataset ... 788 meV per atom
Energy relative to the elements, uncorrected ... 0.24 eV/atom
Theoretical density ... 4.68 g/cm³